[1]
VASP calculation (PBE) on RbTaIn2Tc after structural relaxation.

Values from the calculation:
Total magnetization ... 6.23 μB per cell
Space-group type ... P4/mmm, No. 123
Total energy ... -3.838 eV per atom
ΔE_f ... 1.89 eV per atom

extended XYZ file:
```
5
Lattice="-4.0952 1.3810 -3.3462 3.4578 -0.8244 -4.5720 -1.5666 -5.2310 -0.2416" Properties=species:S:1:pos:R:3 pbc="T T T"
Ta 0.0000 0.0000 0.0000
In -0.7833 -2.6155 -0.1208
In -2.0476 0.6905 -1.6731
Tc -1.1020 -2.3372 -4.0799
Rb 1.7289 -0.4122 -2.2860
```

=====

[2]
VASP calculation (PBE) on RbTbIn2 after structural relaxation.

Values from the calculation:
Total magnetization ... 0.00 μB per cell
Space-group type ... P4/mmm, No. 123
Total energy ... -2.976 eV per atom
ΔE_f ... -0.21 eV per atom

extended XYZ file:
```
4
Lattice="3.8998 0.0000 0.0000 0.0000 3.8998 0.0000 0.0000 0.0000 8.8749" Properties=species:S:1:pos:R:3 pbc="T T T"
Tb 1.9499 1.9499 0.0000
In 0.0000 0.0000 1.7040
In 0.0000 0.0000 7.1709
Rb 1.9499 1.9499 4.4374
```